IrOsRu2 | GGA-PBE | optimized geometry

The space group is I-4m2 (No. 119) and the conventional cell measures 3.840, 3.840 and 7.681 Å, with angles of 90.00, 90.00 and 90.00 degrees. The inequivalent atoms are Ir at (0.000, 0.000, 0.000), Os at (0.000, 0.500, 0.750), Ru at (0.000, 0.000, 0.500) and Ru at (0.000, 0.500, 0.250).

As for the relative energy among the computed polymorphs: 51 meV per atom. As for the formation energy: 0.2 eV per formula unit.



ZrPbS2Cl | GGA-PBE | optimized geometry

The space group is P4/mmm (No. 123) and the conventional cell measures 5.041, 5.041 and 4.994 Å, with angles of 90.00, 90.00 and 90.00 degrees. The inequivalent atoms are Zr at (0.000, 0.000, 0.000), Pb at (0.500, 0.500, 0.500), S at (0.000, 0.500, 0.000) and Cl at (0.000, 0.000, 0.500).

As for the relative energy among the computed polymorphs: 0 meV per atom. The value obtained for the formation energy without anion corrections is -0.91 eV/atom.



Ho5NiBi2 | GGA-PBE | optimized geometry

The space group is Pnma (No. 62) and the conventional cell measures 12.310, 8.907 and 8.000 Å, with angles of 90.00, 90.00 and 90.00 degrees. The inequivalent atoms are Ho at (0.001, 0.250, 0.049), Ho at (0.064, 0.543, 0.323), Ho at (0.192, 0.250, 0.618), Ho at (0.204, 0.750, 0.656), Ni at (0.011, 0.250, 0.424) and Bi at (0.173, 0.010, 0.928).

As for the relative energy among the computed polymorphs: 0 meV per atom. As for the formation energy: -4.6 eV per formula unit.



HoZr3N3 | GGA-PBE | optimized geometry

The space group is I4_132 (No. 214) and the conventional cell measures 9.383, 9.383 and 9.383 Å, with angles of 90.00, 90.00 and 90.00 degrees. The inequivalent atoms are Ho at (0.125, 0.125, 0.125), Zr at (0.117, 0.375, 0.367) and N at (0.119, 0.125, 0.869).

The value obtained for the formation energy without anion corrections is -1.48 eV/atom.



Na3MgBi4 | GGA-PBE | optimized geometry

The space group is P4/mmm (No. 123) and the conventional cell measures 3.483, 3.483 and 19.028 Å, with angles of 90.00, 90.00 and 90.00 degrees. The inequivalent atoms are Na at (0.000, 0.000, 0.000), Na at (0.000, 0.000, 0.254), Mg at (0.000, 0.000, 0.500), Bi at (0.500, 0.500, 0.129) and Bi at (0.500, 0.500, 0.389).

As for the relative energy among the computed polymorphs: 0 meV per atom. As for the formation energy: -2.1 eV per formula unit.



BaLiPrHg | GGA-PBE | optimized geometry

The space group is F-43m (No. 216) and the conventional cell measures 8.068, 8.068 and 8.068 Å, with angles of 90.00, 90.00 and 90.00 degrees. The inequivalent atoms are Ba at (0.000, 0.000, 0.000), Li at (0.250, 0.250, 0.250), Pr at (0.000, 0.000, 0.500) and Hg at (0.250, 0.250, 0.750).

As for the formation energy: -0.5 eV per formula unit.



SmLuIr | GGA-PBE | optimized geometry

The space group is I4mm (No. 107) and the conventional cell measures 3.470, 3.470 and 12.654 Å, with angles of 90.00, 90.00 and 90.00 degrees. The inequivalent atoms are Sm at (0.000, 0.000, 0.000), Lu at (0.000, 0.000, 0.743) and Ir at (0.000, 0.000, 0.362).

As for the relative energy among the computed polymorphs: 115 meV per atom. As for the formation energy: -1.7 eV per formula unit.



Y3AsS2 | GGA-PBE | optimized geometry

The space group is Immm (No. 71) and the conventional cell measures 3.993, 5.644 and 11.974 Å, with angles of 90.00, 90.00 and 90.00 degrees. The inequivalent atoms are Y at (0.000, 0.000, 0.000), Y at (0.000, 0.000, 0.332), As at (0.000, 0.500, 0.000) and S at (0.000, 0.500, 0.334).

The value obtained for the formation energy without anion corrections is -1.88 eV/atom.



NdHoTm2Sc4 | GGA-PBE | optimized geometry

The space group is C2/c (No. 15) and the conventional cell measures 13.001, 12.645 and 6.512 Å, with angles of 90.00, 120.05 and 90.00 degrees. The inequivalent atoms are Nd at (0.000, 0.000, 0.000), Ho at (0.250, 0.250, 0.000), Tm at (0.000, 0.500, 0.000), Tm at (0.250, 0.250, 0.500), Sc at (0.000, 0.253, 0.000) and Sc at (0.247, 0.499, 0.496).

As for the formation energy: 3.5 eV per formula unit.



SmSi2Ge2Pt7 | GGA-PBE | optimized geometry

The space group is C2/m (No. 12) and the conventional cell measures 5.605, 5.582 and 14.632 Å, with angles of 90.00, 96.12 and 90.00 degrees. The inequivalent atoms are Sm at (0.000, 0.000, 0.000), Si at (0.074, 0.500, 0.251), Ge at (0.154, 0.000, 0.424), Pt at (0.000, 0.500, 0.000), Pt at (0.098, 0.500, 0.412) and Pt at (0.203, 0.251, 0.842).

The value obtained for the formation energy without anion corrections is -0.58 eV/atom.



Sc2Be16Cu | GGA-PBE | optimized geometry

The space group is R3m (No. 160, hexagonal axes) and the conventional cell measures 7.5765, 7.5765 and 11.0418 Å, with angles of 90.00, 90.00 and 120.00 degrees. The inequivalent atoms are Sc at (0.0000, 0.0000, 0.0000), Sc at (0.0000, 0.0000, 0.3210), Be at (0.0000, 0.0000, 0.7639), Be at (0.9999, 0.2889, 0.6612), Be at (0.0005, 0.5003, 0.5038), Be at (0.0008, 0.5004, 0.8186), Be at (0.1680, 0.3359, 0.4948) and Cu at (0.0000, 0.0000, 0.5649).

As for the formation energy: -3.7 eV per formula unit.



ReNiSe | GGA-PBE | optimized geometry

The space group is P3m1 (No. 156) and the conventional cell measures 2.9268, 2.9268 and 5.9205 Å, with angles of 90.00, 90.00 and 120.00 degrees. The inequivalent atoms are Re at (0.0000, 0.0000, 0.0000), Ni at (0.6667, 0.3333, 0.6681) and Se at (0.3333, 0.6667, 0.3280).

As for the relative energy among the computed polymorphs: 422 meV per atom. The value obtained for the formation energy without anion corrections is 0.33 eV/atom.



Quick rundown of magnetic moment, same order as above: 0.000; 0.000; 0.000; 0.000; 0.000; 0.000; 0.000; 0.000; 0.408; 0.000; 0.000; 0.000 μB per atom